[1]
Here is a relaxed YThS2 crystal from Alexandria. Energies are from PBE.

Cell: 7.4311 7.4311 7.4311 Å, 30.08 30.08 30.08°
With the nearest neighbours (Å) after each atom.
Atoms (fractional coordinates):
Y  0.0000  0.0000  0.0000  6 S 2.73-2.82
Th  0.1739  0.1739  0.1739  6 S 2.87-2.97
S  0.4150  0.4150  0.4150  3 Y 2.82, 3 Th 2.97
S  0.5922  0.5922  0.5922  3 Y 2.73, 3 Th 2.87

Results
Energy   -0.54034 Ry/atom
Density of states at the Fermi level   2.69 states/eV/cell
Raw formation energy   -1.817 eV/atom



[2]
Here is a relaxed ThZnS crystal from Alexandria. Energies are from PBE.

Cell: 8.2481 8.2481 8.2481 Å, 32.16 32.16 32.16°
With the nearest neighbours (Å) after each atom.
Atoms (fractional coordinates):
Th  0.0843  0.0843  0.0843  4 S 2.79-2.95
Th  0.9157  0.9157  0.9157  4 S 2.79-2.95
Zn  0.3390  0.3390  0.3390  3 Zn 2.65
Zn  0.6610  0.6610  0.6610  3 Zn 2.65
S  0.2103  0.2103  0.2103  4 Th 2.79-2.95, 1 Zn 3.02
S  0.7897  0.7897  0.7897  4 Th 2.79-2.95, 1 Zn 3.02

Results
Energy   -0.39057 Ry/atom
Density of states at the Fermi level   4.80 states/eV/cell
Raw formation energy   -1.040 eV/atom



Number 1: spin magnetization 0.000 μB per atom. Number 2: spin magnetization 0.000 μB per atom.